Ti2Pd4C | PBE | optimized geometry

Cell lengths 7.629, 7.629, 7.629 Å; angles 149.73, 149.73, 43.34 degrees
Atoms (fractional coordinates):
Ti 0.176 0.176 0.000
Ti 0.824 0.824 0.000
Pd 0.000 0.500 0.500
Pd 0.350 0.350 0.000
Pd 0.500 0.000 0.500
Pd 0.650 0.650 0.000
C 0.500 0.500 0.000

Summary:
Space-group type: I4/mmm (139)
Density (g/cm3): 7.869
Formation energy (eV per formula unit): 0.8